{"formula": "Cs3NiHg2F9", "functional": "PBE+U", "state": "optimized geometry", "dft_energy_ev_per_atom": -3.65, "space_group": "No. 164", "lattice_angstrom": [[-4.3509, -0.2627, 4.6415], [-1.2030, -2.6845, -5.6470], [3.1088, -6.7228, 2.5336]], "species": ["F", "F", "F", "F", "F", "F", "F", "F", "F", "Cs", "Cs", "Cs", "Hg", "Hg", "Ni"], "fractional_positions": [[0.8463, 0.1537, 0.6511], [0.1537, 0.8463, 0.3489], [0.0000, 0.5000, 0.0000], [0.5000, 0.5000, 0.0000], [0.5000, 0.0000, 0.0000], [0.6926, 0.8463, 0.3489], [0.3074, 0.1537, 0.6511], [0.1537, 0.3074, 0.3489], [0.8463, 0.6926, 0.6511], [0.0000, 0.0000, 0.0000], [0.6667, 0.3333, 0.3314], [0.3333, 0.6667, 0.6686], [0.3333, 0.6667, 0.1845], [0.6667, 0.3333, 0.8155], [0.0000, 0.0000, 0.5000]]}